(1)
First-principles (PBE-GGA) data for a relaxed La3HgO crystal, as listed in the Alexandria database.

```
La3HgO
1.0
-4.0355 3.4965 2.9475
1.8079 -4.6478 3.5112
4.7823 3.3033 -1.8484
Hg O La
1 1 3
direct
0.3997 0.3997 0.3997
0.9545 0.9545 0.9545
0.7155 0.7155 0.0899
0.0899 0.7155 0.7155
0.7155 0.0899 0.7155
```

Values from the calculation:
For the uncorrected formation energy, the calculation gives -904.8 meV per atom. As for the energy above the most stable polymorph in this dataset: 459 meV per atom.

***

(2)
First-principles (PBE-GGA) data for a relaxed Y2H2SCl crystal, as listed in the Alexandria database.

```
Y2H2SCl
1.0
3.7511 0.0000 0.0000
-1.8756 3.2486 0.0000
0.0000 0.0000 8.0214
H S Y Cl
2 1 2 1
direct
0.3333 0.6667 0.2452
0.6667 0.3333 0.7548
0.0000 0.0000 0.5000
0.3333 0.6667 0.7157
0.6667 0.3333 0.2843
0.0000 0.0000 0.0000
```

Values from the calculation:
For the total energy, the calculation gives -5.61 eV per atom.

***

(3)
First-principles (PBE-GGA) data for a relaxed CaCo2Hg crystal, as listed in the Alexandria database.

```
CaCo2Hg
1.0
4.9738 -0.0561 0.0000
1.4790 4.7492 0.0000
-3.2264 -2.3466 2.9709
Co Ca Hg
2 1 1
direct
0.0000 0.0000 0.0000
0.2500 0.7500 0.5000
0.7500 0.2500 0.5000
0.5000 0.5000 0.0000
```

Values from the calculation:
As for the formation energy: 0.38 eV per atom.

***

(4)
First-principles (PBE-GGA) data for a relaxed TlSnSb3 crystal, as listed in the Alexandria database.

```
TlSnSb3
1.0
5.7208 0.0000 0.0000
0.0000 5.7208 0.0000
0.0000 0.0000 5.7208
Sb Sn Tl
3 1 1
direct
0.0000 0.5000 0.0000
0.0000 0.0000 0.5000
0.5000 0.0000 0.0000
0.0000 0.0000 0.0000
0.5000 0.5000 0.5000
```

Values from the calculation:
For the uncorrected formation energy, the calculation gives 574.8 meV per atom. As for the energy above the most stable polymorph in this dataset: 0 meV per atom.

***

(5)
First-principles (PBE-GGA) data for a relaxed KSc2InBr crystal, as listed in the Alexandria database.

```
KSc2InBr
1.0
5.4327 0.0000 0.0000
0.0000 6.8521 0.0000
0.0000 0.0000 5.4327
Sc In K Br
2 1 1 1
direct
0.0000 0.0000 0.5000
0.5000 0.0000 0.0000
0.0000 0.0000 0.0000
0.0000 0.5000 0.0000
0.5000 0.5000 0.5000
```

Values from the calculation:
For the uncorrected formation energy, the calculation gives 126.7 meV per atom.

***

(6)
First-principles (PBE-GGA) data for a relaxed CeEuTlPt crystal, as listed in the Alexandria database.

```
CeEuTlPt
1.0
5.2994 0.0000 0.0000
2.6497 4.5894 0.0000
2.6497 1.5298 4.3270
Tl Eu Ce Pt
1 1 1 1
direct
0.0000 0.0000 0.0000
0.2500 0.2500 0.2500
0.7500 0.7500 0.7500
0.5000 0.5000 0.5000
```

Values from the calculation:
As for the formation energy: -0.52 eV per atom.

***

(7)
First-principles (PBE-GGA) data for a relaxed Mg2CuSe2 crystal, as listed in the Alexandria database.

```
Mg2CuSe2
1.0
-2.2227 2.2227 6.0947
2.2227 -2.2227 6.0947
2.2227 2.2227 -6.0947
Mg Cu Se
2 1 2
direct
0.7500 0.2500 0.5000
0.2500 0.7500 0.5000
0.0000 0.0000 0.0000
0.6354 0.6354 0.0000
0.3646 0.3646 0.0000
```

Values from the calculation:
For the uncorrected formation energy, the calculation gives -321.8 meV per atom. As for the energy above the most stable polymorph in this dataset: 374 meV per atom.

***

(8)
First-principles (PBE-GGA) data for a relaxed Cs2V3Br10 crystal, as listed in the Alexandria database.

```
Cs2V3Br10
1.0
-0.6810 3.6636 6.7821
-9.2398 3.7411 -2.9487
-0.7990 -12.7704 2.4035
Br V Cs
20 6 4
direct
0.0000 0.0000 0.5000
0.6422 0.9676 0.7826
0.8682 0.2541 0.7365
0.5189 0.1755 0.0378
0.2279 0.2736 0.4559
0.3750 0.4513 0.2716
0.7721 0.7264 0.5441
0.0177 0.1833 0.0354
0.3578 0.0324 0.2174
0.2174 0.5000 0.0000
0.1035 0.5487 0.7284
0.8596 0.0324 0.2174
0.7826 0.5000 0.0000
0.9823 0.8167 0.9646
0.1318 0.7459 0.2635
0.6250 0.5487 0.7284
0.8965 0.4513 0.2716
0.5000 0.0000 0.5000
0.4811 0.8245 0.9622
0.1404 0.9676 0.7826
0.2504 0.0000 0.0000
0.1745 0.0212 0.3490
0.0756 0.4734 0.1513
0.9244 0.5266 0.8487
0.8255 0.9788 0.6510
0.7496 0.0000 0.0000
0.7297 0.3092 0.4595
0.6238 0.7385 0.2475
0.3762 0.2615 0.7525
0.2703 0.6908 0.5405
```

Values from the calculation:
For the uncorrected formation energy, the calculation gives -1078.7 meV per atom.

***

(9)
First-principles (PBE-GGA) data for a relaxed Cr2SnSe crystal, as listed in the Alexandria database.

```
Cr2SnSe
1.0
-5.2739 3.5964 -3.2703
0.6712 -4.2404 -5.7456
-4.4263 -2.3218 -3.2803
Cr Sn Se
4 2 2
direct
0.8750 0.8413 0.7500
0.1587 0.6250 0.2500
0.3750 0.4087 0.7500
0.5913 0.1250 0.2500
0.7500 0.2500 0.5000
0.0000 0.0000 0.0000
0.5000 0.5000 0.0000
0.2500 0.7500 0.5000
```

Values from the calculation:
For the uncorrected formation energy, the calculation gives 333.8 meV per atom. As for the energy above the most stable polymorph in this dataset: 0 meV per atom.

***

(10)
First-principles (PBE-GGA) data for a relaxed FeBS2Cl crystal, as listed in the Alexandria database.

```
FeBS2Cl
1.0
-4.0892 -1.1969 0.5826
-0.3193 -0.9452 -4.1831
1.4918 -4.6416 0.9350
Cl B Fe S
1 1 1 2
direct
0.0000 0.0000 0.5000
0.5000 0.5000 0.5000
0.0000 0.0000 0.0000
0.0000 0.5000 0.0000
0.5000 0.0000 0.0000
```

Values from the calculation:
For the uncorrected formation energy, the calculation gives 1014.6 meV per atom. As for the energy above the most stable polymorph in this dataset: 256 meV per atom.

***

Calculated values (g/cm³) of ρ for the records, taken in order: 6.3 4.2 8.5 6.1 2.7 10.9 3.7 4.3 6.2 3.0.
Calculated values (μB/cell) of size of the total moment for the records, taken in order: 0.89 0.00 2.92 0.00 0.82 6.18 0.00 14.00 14.56 0.00.